[1]
First-principles (GGA-PBE) data for a relaxed TePH crystal, as listed in Alexandria via LeMat-Bulk.

abc: 4.0722 3.8378 4.8672
angles: 90.00 106.12 90.00
Last column: nearest neighbours and their distance in Å.
Space group Pm (No. 6)
Inequivalent atoms, fractional coordinates:
Te (0.0000, 0.0000, 0.0000)  2 P 2.58
P (0.3800, 0.5000, 0.9100)  1 H 1.43
H (0.2636, 0.5000, 0.6039)  1 P 1.43

Summary:
Calculated density: 3.63 g/cm³
Relative energy among the computed polymorphs: 35 meV/atom
Spin magnetization: 0.00 μB/f.u.
Electronic total energy: -3.876 eV per atom

***

[2]
First-principles (GGA-PBE) data for a relaxed SrFeMo2 crystal, as listed in Alexandria via LeMat-Bulk.

abc: 3.8358 3.8358 5.1023
angles: 90.00 90.00 90.00
Last column: nearest neighbours and their distance in Å.
Space group P4/mmm (No. 123)
Inequivalent atoms, fractional coordinates:
Sr (0.0000, 0.0000, 0.0000)  4 Fe 2.71
Fe (0.5000, 0.5000, 0.0000)  4 Sr 2.71
Mo (0.0000, 0.5000, 0.5000)  4 Mo 2.71

Summary:
Calculated density: 7.42 g/cm³
Relative energy among the computed polymorphs: 555 meV/atom
Spin magnetization: 2.10 μB/f.u.
Fermi-level density of states: 6.21 states/eV/f.u.
Formation energy: 1.16 eV per atom
Electronic total energy: -6.787 eV per atom

***

[3]
First-principles (GGA-PBE) data for a relaxed KB2Se crystal, as listed in Alexandria via LeMat-Bulk.

abc: 6.9691 6.9691 6.3681
angles: 90.00 90.00 90.00
Last column: nearest neighbours and their distance in Å.
Space group I-42d (No. 122)
Inequivalent atoms, fractional coordinates:
K (0.0000, 0.0000, 0.0000)  8 B 3.00-3.18, 2 Se 3.18
B (0.1690, 0.2500, 0.6250)  2 Se 2.25
Se (0.0000, 0.0000, 0.5000)  4 B 2.25

Summary:
Calculated density: 3.00 g/cm³
Spin magnetization: 0.00 μB/f.u.
Fermi-level density of states: 3.28 states/eV/f.u.
Electronic total energy: -3.216 eV per atom
Formation energy from raw total energies: 1268 meV/atom

***

[4]
First-principles (GGA-PBE) data for a relaxed CaNdMgHg crystal, as listed in Alexandria via LeMat-Bulk.

abc: 7.6965 7.6965 7.6965
angles: 90.00 90.00 90.00
Last column: nearest neighbours and their distance in Å.
Space group F-43m (No. 216)
Inequivalent atoms, fractional coordinates:
Ca (0.0000, 0.0000, 0.0000)  4 Mg 3.33, 4 Hg 3.33
Nd (0.0000, 0.0000, 0.5000)  4 Hg 3.33, 4 Mg 3.33
Mg (0.2500, 0.2500, 0.2500)  4 Nd 3.33, 4 Ca 3.33
Hg (0.2500, 0.2500, 0.7500)  4 Nd 3.33, 4 Ca 3.33

Summary:
Calculated density: 5.96 g/cm³
Relative energy among the computed polymorphs: 0 meV/atom
Spin magnetization: 0.00 μB/f.u.
Fermi-level density of states: 3.24 states/eV/f.u.
Formation energy: -0.31 eV per atom
Electronic total energy: -2.471 eV per atom

***

[5]
First-principles (GGA-PBE) data for a relaxed UPd9Pt4 crystal, as listed in Alexandria via LeMat-Bulk.

abc: 7.9197 7.9197 8.7222
angles: 90.00 90.00 120.00
Last column: nearest neighbours and their distance in Å.
Space group P6_3/mmc (No. 194)
Inequivalent atoms, fractional coordinates:
U (0.3333, 0.6667, 0.2500)  9 Pd 2.56-2.80
Pd (0.0755, 0.5377, 0.7500)  2 Pt 2.63, 1 U 2.80
Pd (0.2077, 0.4154, 0.0329)  1 U 2.56, 2 Pt 2.79-2.86
Pt (0.0000, 0.0000, 0.0000)  6 Pt 2.68, 6 Pd 2.86
Pt (0.1133, 0.2267, 0.7500)  4 Pd 2.63-2.79, 4 Pt 2.68-2.69

Summary:
Calculated density: 13.85 g/cm³
Spin magnetization: 0.00 μB/f.u.
Fermi-level density of states: 10.00 states/eV/f.u.
Formation energy: -0.12 eV per atom
Electronic total energy: -5.993 eV per atom

***

[6]
First-principles (GGA-PBE) data for a relaxed Fe2RuRh crystal, as listed in Alexandria via LeMat-Bulk.

abc: 2.8644 4.4415 8.4818
angles: 90.00 90.00 90.00
Last column: nearest neighbours and their distance in Å.
Space group Immm (No. 71)
Inequivalent atoms, fractional coordinates:
Fe (0.0000, 0.0000, 0.2470)  2 Ru 2.54, 2 Rh 2.58, 4 Fe 2.64
Ru (0.0000, 0.5000, 0.5000)  4 Fe 2.54, 4 Rh 2.64
Rh (0.0000, 0.5000, 0.0000)  4 Fe 2.58, 4 Ru 2.64, 2 Rh 2.86

Summary:
Calculated density: 9.72 g/cm³
Spin magnetization: 7.13 μB/f.u.
Fermi-level density of states: 5.10 states/eV/f.u.
Formation energy: 0.19 eV per atom
Electronic total energy: -8.202 eV per atom

***

[7]
First-principles (GGA-PBE) data for a relaxed RbRe2Sb2 crystal, as listed in Alexandria via LeMat-Bulk.

abc: 8.3704 8.3704 3.0544
angles: 90.00 90.00 90.00
Last column: nearest neighbours and their distance in Å.
Space group P4/mbm (No. 127)
Inequivalent atoms, fractional coordinates:
Rb (0.0000, 0.0000, 0.0000)  2 Rb 3.05, 4 Re 3.31
Re (0.1246, 0.3754, 0.0000)  6 Sb 2.81-3.02, 3 Re 2.95-3.05
Sb (0.1550, 0.6550, 0.5000)  6 Re 2.81-3.02, 2 Sb 3.05

Summary:
Calculated density: 10.89 g/cm³
Relative energy among the computed polymorphs: 306 meV/atom
Spin magnetization: 0.00 μB/f.u.
Fermi-level density of states: 3.95 states/eV/f.u.
Electronic total energy: -6.031 eV per atom
Formation energy from raw total energies: 790 meV/atom

***

> What is the spin magnetization in the fourth record?

0.00 μB/f.u.